Entry 1:
{"formula": "Li2Tl2Pd", "functional": "GGA-PBE", "state": "optimized geometry", "sg": "C2/m, No. 12", "relative_energy_mev_per_atom": 0, "energy_ev_per_cell": -15.1, "e_form_mev_per_atom": -279, "lattice": [[4.0869, -2.3446, 0.0000], [4.0869, 2.3446, 0.0000], [-2.7639, 0.0000, 4.9909]], "species": ["Li", "Li", "Tl", "Tl", "Pd"], "frac_coords": [[0.1956, 0.1956, 0.0859], [0.8044, 0.8044, 0.9141], [0.3988, 0.3988, 0.6950], [0.6012, 0.6012, 0.3050], [0.0000, 0.0000, 0.5000]]}

Entry 2:
{"formula": "Tb3Pm6Nd2Mg", "functional": "GGA-PBE", "state": "optimized geometry", "sg": "C2/m, No. 12", "energy_ev_per_cell": -53.4, "e_form_mev_per_atom": 12, "lattice": [[3.1203, -5.4087, 0.0000], [3.1203, 5.4087, 0.0000], [-2.0901, 0.0000, 11.7215]], "species": ["Tb", "Tb", "Tb", "Pm", "Pm", "Pm", "Pm", "Pm", "Pm", "Nd", "Nd", "Mg"], "frac_coords": [[0.0000, 0.0000, 0.0000], [0.3339, 0.6661, 0.0000], [0.6661, 0.3339, 0.0000], [0.0862, 0.4169, 0.2488], [0.2522, 0.2522, 0.7524], [0.4169, 0.0862, 0.2488], [0.5831, 0.9138, 0.7512], [0.7478, 0.7478, 0.2476], [0.9138, 0.5831, 0.7512], [0.1670, 0.8330, 0.5000], [0.8330, 0.1670, 0.5000], [0.5000, 0.5000, 0.5000]]}

Entry 3:
{"formula": "TlAg12Au6", "functional": "GGA-PBE", "state": "optimized geometry", "sg": "R-3m, No. 166", "energy_ev_per_cell": -54.4, "e_form_mev_per_atom": 99, "lattice": [[6.1937, 3.5760, 2.9170], [-6.1937, 3.5760, 2.9170], [0.0000, -7.1519, 2.9170]], "species": ["Tl", "Ag", "Ag", "Ag", "Ag", "Ag", "Ag", "Ag", "Ag", "Ag", "Ag", "Ag", "Ag", "Au", "Au", "Au", "Au", "Au", "Au"], "frac_coords": [[0.0000, 0.0000, 0.0000], [0.1024, 0.3452, 0.3452], [0.1130, 0.5000, 0.8870], [0.1130, 0.8870, 0.5000], [0.3452, 0.1024, 0.3452], [0.3452, 0.3452, 0.1024], [0.5000, 0.1130, 0.8870], [0.5000, 0.8870, 0.1130], [0.6548, 0.6548, 0.8976], [0.6548, 0.8976, 0.6548], [0.8870, 0.1130, 0.5000], [0.8870, 0.5000, 0.1130], [0.8976, 0.6548, 0.6548], [0.3053, 0.6924, 0.6924], [0.3076, 0.3076, 0.6947], [0.3076, 0.6947, 0.3076], [0.6924, 0.3053, 0.6924], [0.6924, 0.6924, 0.3053], [0.6947, 0.3076, 0.3076]]}